# 1
# Te2I PBE optimized geometry
data_Te2I
_cell_length_a 16.2494
_cell_length_b 4.1645
_cell_length_c 15.0506
_cell_angle_alpha 90.00
_cell_angle_beta 90.00
_cell_angle_gamma 90.00
_symmetry_space_group_name_H-M 'P n m a'
_symmetry_Int_Tables_number 62
loop_
_symmetry_equiv_pos_as_xyz
'x,y,z'
'-x,-y,-z'
'-x+1/2,-y,z+1/2'
'x+1/2,y,-z+1/2'
'x+1/2,-y+1/2,-z+1/2'
'-x+1/2,y+1/2,z+1/2'
'-x,y+1/2,-z'
'x,-y+1/2,z'
loop_
_atom_site_label
_atom_site_fract_x
_atom_site_fract_y
_atom_site_fract_z
Te1 0.0901 0.2500 0.2466
Te2 0.1171 0.7500 0.3788
Te3 0.1687 0.7500 0.7541
Te4 0.2001 0.2500 0.8842
I1 0.0545 0.7500 0.0993
I2 0.1304 0.2500 0.6050
# Crystal system ... orthorhombic
# ΔE to the lowest computed polymorph ... 0.0 meV per atom
# Formation energy from raw total energies ... -0.051 eV/atom
# Calculated volume ... 1018 Å³ per cell
# Spin magnetization ... 0.00 Bohr magnetons per cell


# 2
# Te2I PBE optimized geometry
data_Te2I
_cell_length_a 5.6879
_cell_length_b 5.9837
_cell_length_c 8.1911
_cell_angle_alpha 94.24
_cell_angle_beta 105.05
_cell_angle_gamma 92.23
_symmetry_space_group_name_H-M 'P -1'
_symmetry_Int_Tables_number 2
loop_
_symmetry_equiv_pos_as_xyz
'x,y,z'
'-x,-y,-z'
loop_
_atom_site_label
_atom_site_fract_x
_atom_site_fract_y
_atom_site_fract_z
Te1 0.0565 0.1913 0.1127
Te2 0.3635 0.8606 0.7659
I1 0.3436 0.3471 0.7009
# Crystal system ... triclinic
# ΔE to the lowest computed polymorph ... 90.9 meV per atom
# Formation energy from raw total energies ... 0.040 eV/atom
# Calculated volume ... 268 Å³ per cell
# Spin magnetization ... 0.00 Bohr magnetons per cell


# 3
# TeI PBE optimized geometry
data_TeI
_cell_length_a 15.6602
_cell_length_b 4.2319
_cell_length_c 5.9310
_cell_angle_alpha 90.00
_cell_angle_beta 92.66
_cell_angle_gamma 90.00
_symmetry_space_group_name_H-M 'C 1 m 1'
_symmetry_Int_Tables_number 8
loop_
_symmetry_equiv_pos_as_xyz
'x,y,z'
'x,-y,z'
'x+1/2,y+1/2,z'
'x+1/2,-y+1/2,z'
loop_
_atom_site_label
_atom_site_fract_x
_atom_site_fract_y
_atom_site_fract_z
Te1 0.0000 0.0000 0.0000
Te2 0.1301 0.5000 0.0215
I1 0.1856 0.5000 0.4838
I2 0.3564 0.0000 0.9630
# Crystal system ... monoclinic
# ΔE to the lowest computed polymorph ... 39.4 meV per atom
# Formation energy from raw total energies ... -0.033 eV/atom
# Calculated volume ... 393 Å³ per cell
# Spin magnetization ... 0.00 Bohr magnetons per cell


# 4
# TeI4 PBE optimized geometry
data_TeI4
_cell_length_a 17.9429
_cell_length_b 17.9429
_cell_length_c 12.1878
_cell_angle_alpha 90.00
_cell_angle_beta 90.00
_cell_angle_gamma 90.00
_symmetry_space_group_name_H-M 'I 41/a m d'
_symmetry_Int_Tables_number 141
loop_
_symmetry_equiv_pos_as_xyz
'x,y,z'
'-x,-y,-z'
'-y+1/4,x+3/4,z+1/4'
'y+1/4,-x+3/4,-z+1/4'
'-x+1/2,-y,z+1/2'
'x+1/2,y,-z+1/2'
'y+1/4,-x+1/4,z+3/4'
'-y+1/4,x+1/4,-z+3/4'
'x,-y,-z'
'-x,y,z'
'-y+1/4,-x+1/4,-z+3/4'
'y+1/4,x+1/4,z+3/4'
'-x+1/2,y,-z+1/2'
'x+1/2,-y,z+1/2'
'y+1/4,x+3/4,-z+1/4'
'-y+1/4,-x+3/4,z+1/4'
'x+1/2,y+1/2,z+1/2'
'-x+1/2,-y+1/2,-z+1/2'
'-y+3/4,x+1/4,z+3/4'
'y+3/4,-x+1/4,-z+3/4'
'-x,-y+1/2,z'
'x,y+1/2,-z'
'y+3/4,-x+3/4,z+1/4'
'-y+3/4,x+3/4,-z+1/4'
'x+1/2,-y+1/2,-z+1/2'
'-x+1/2,y+1/2,z+1/2'
'-y+3/4,-x+3/4,-z+1/4'
'y+3/4,x+3/4,z+1/4'
'-x,y+1/2,-z'
'x,-y+1/2,z'
'y+3/4,x+1/4,-z+3/4'
'-y+3/4,-x+1/4,z+3/4'
loop_
_atom_site_label
_atom_site_fract_x
_atom_site_fract_y
_atom_site_fract_z
Te1 0.0000 0.1154 0.2316
I1 0.0000 0.1290 0.0026
I2 0.0000 0.1286 0.5001
I3 0.1164 0.0113 0.2424
# Crystal system ... tetragonal
# ΔE to the lowest computed polymorph ... 12.2 meV per atom
# Formation energy from raw total energies ... -0.092 eV/atom
# Calculated volume ... 3924 Å³ per cell
# Spin magnetization ... 0.00 Bohr magnetons per cell


# 5
# TeI2 PBE optimized geometry
data_TeI2
_cell_length_a 4.3194
_cell_length_b 7.8289
_cell_length_c 9.7208
_cell_angle_alpha 66.98
_cell_angle_beta 84.04
_cell_angle_gamma 74.63
_symmetry_space_group_name_H-M 'P 1'
_symmetry_Int_Tables_number 1
loop_
_symmetry_equiv_pos_as_xyz
'x,y,z'
loop_
_atom_site_label
_atom_site_fract_x
_atom_site_fract_y
_atom_site_fract_z
Te1 0.0000 0.0000 0.0000
Te2 0.3885 0.2705 0.9958
I1 0.2650 0.4038 0.6593
I2 0.3411 0.7880 0.4911
I3 0.3924 0.1901 0.3208
I4 0.6694 0.7057 0.9968
# Crystal system ... triclinic
# ΔE to the lowest computed polymorph ... 21.8 meV per atom
# Formation energy from raw total energies ... -0.030 eV/atom
# Calculated volume ... 292 Å³ per cell
# Spin magnetization ... 0.00 Bohr magnetons per cell


# 6
# TeI3 PBE optimized geometry
data_TeI3
_cell_length_a 9.3983
_cell_length_b 9.3983
_cell_length_c 14.1067
_cell_angle_alpha 90.00
_cell_angle_beta 90.00
_cell_angle_gamma 90.00
_symmetry_space_group_name_H-M 'I 41/a m d'
_symmetry_Int_Tables_number 141
loop_
_symmetry_equiv_pos_as_xyz
'x,y,z'
'-x,-y,-z'
'-y+1/4,x+3/4,z+1/4'
'y+1/4,-x+3/4,-z+1/4'
'-x+1/2,-y,z+1/2'
'x+1/2,y,-z+1/2'
'y+1/4,-x+1/4,z+3/4'
'-y+1/4,x+1/4,-z+3/4'
'x,-y,-z'
'-x,y,z'
'-y+1/4,-x+1/4,-z+3/4'
'y+1/4,x+1/4,z+3/4'
'-x+1/2,y,-z+1/2'
'x+1/2,-y,z+1/2'
'y+1/4,x+3/4,-z+1/4'
'-y+1/4,-x+3/4,z+1/4'
'x+1/2,y+1/2,z+1/2'
'-x+1/2,-y+1/2,-z+1/2'
'-y+3/4,x+1/4,z+3/4'
'y+3/4,-x+1/4,-z+3/4'
'-x,-y+1/2,z'
'x,y+1/2,-z'
'y+3/4,-x+3/4,z+1/4'
'-y+3/4,x+3/4,-z+1/4'
'x+1/2,-y+1/2,-z+1/2'
'-x+1/2,y+1/2,z+1/2'
'-y+3/4,-x+3/4,-z+1/4'
'y+3/4,x+3/4,z+1/4'
'-x,y+1/2,-z'
'x,-y+1/2,z'
'y+3/4,x+1/4,-z+3/4'
'-y+3/4,-x+1/4,z+3/4'
loop_
_atom_site_label
_atom_site_fract_x
_atom_site_fract_y
_atom_site_fract_z
Te1 0.0000 0.2500 0.3750
I1 0.0000 0.0000 0.5000
I2 0.0000 0.2500 0.8750
# Crystal system ... tetragonal
# ΔE to the lowest computed polymorph ... 179.8 meV per atom
# Formation energy from raw total energies ... 0.276 eV/atom
# Calculated volume ... 1246 Å³ per cell
# Spin magnetization ... 4.00 Bohr magnetons per cell


# 7
# TeI PBE optimized geometry
data_TeI
_cell_length_a 5.6092
_cell_length_b 7.4851
_cell_length_c 9.6032
_cell_angle_alpha 79.06
_cell_angle_beta 73.13
_cell_angle_gamma 88.05
_symmetry_space_group_name_H-M 'P 1'
_symmetry_Int_Tables_number 1
loop_
_symmetry_equiv_pos_as_xyz
'x,y,z'
loop_
_atom_site_label
_atom_site_fract_x
_atom_site_fract_y
_atom_site_fract_z
Te1 0.0000 0.0000 0.0000
Te2 0.0940 0.0024 0.2704
Te3 0.4987 0.1868 0.7870
Te4 0.6645 0.2853 0.0120
I1 0.1459 0.9364 0.6078
I2 0.3177 0.5342 0.7031
I3 0.4168 0.7185 0.1124
I4 0.7984 0.3138 0.3322
# Crystal system ... triclinic
# ΔE to the lowest computed polymorph ... 26.7 meV per atom
# Formation energy from raw total energies ... -0.045 eV/atom
# Calculated volume ... 379 Å³ per cell
# Spin magnetization ... 0.00 Bohr magnetons per cell


# 8
# TeI PBE optimized geometry
data_TeI
_cell_length_a 5.5915
_cell_length_b 7.7601
_cell_length_c 8.6373
_cell_angle_alpha 89.74
_cell_angle_beta 84.49
_cell_angle_gamma 74.82
_symmetry_space_group_name_H-M 'P -1'
_symmetry_Int_Tables_number 2
loop_
_symmetry_equiv_pos_as_xyz
'x,y,z'
'-x,-y,-z'
loop_
_atom_site_label
_atom_site_fract_x
_atom_site_fract_y
_atom_site_fract_z
Te1 0.1491 0.0541 0.3846
Te2 0.3009 0.2883 0.5777
I1 0.0638 0.2113 0.8726
I2 0.4616 0.6456 0.7364
# Crystal system ... triclinic
# ΔE to the lowest computed polymorph ... 19.4 meV per atom
# Formation energy from raw total energies ... -0.053 eV/atom
# Calculated volume ... 360 Å³ per cell
# Spin magnetization ... 0.00 Bohr magnetons per cell


- Among the records above, which one has the lowest calculated volume?
  number 2